YBePd2Rh | PBE | optimized geometry

```
data_YBePd2Rh
_chemical_formula_sum 'Y1 Be1 Pd2 Rh1'
_cell_length_a 4.3143
_cell_length_b 4.3143
_cell_length_c 4.3132
_cell_angle_alpha 90.00
_cell_angle_beta 90.00
_cell_angle_gamma 90.00
_symmetry_space_group_name_H-M 'P 4/m m m'
_symmetry_Int_Tables_number 123
_symmetry_space_group_name_Hall '-P 4 2'
loop_
_atom_site_label
_atom_site_type_symbol
_atom_site_fract_x
_atom_site_fract_y
_atom_site_fract_z
Y1 Y 0.0000 0.0000 0.0000
Be1 Be 0.5000 0.5000 0.5000
Pd1 Pd 0.0000 0.5000 0.5000
Rh1 Rh 0.5000 0.5000 0.0000
```

=====

Sm2In | PBE | optimized geometry

```
data_Sm2In
_chemical_formula_sum 'Sm8 In4'
_cell_length_a 6.4152
_cell_length_b 3.7032
_cell_length_c 16.1447
_cell_angle_alpha 90.00
_cell_angle_beta 97.63
_cell_angle_gamma 90.00
_symmetry_space_group_name_H-M 'C 1 2/c 1'
_symmetry_Int_Tables_number 15
_symmetry_space_group_name_Hall '-C 2yc'
loop_
_atom_site_label
_atom_site_type_symbol
_atom_site_fract_x
_atom_site_fract_y
_atom_site_fract_z
Sm1 Sm 0.1142 0.2492 0.0932
In1 In 0.0000 0.2514 0.7500
```

=====

# Er3Tm6Pb, optimized geometry, DFT PBE
# Excess energy over the best structure of this formula in the dataset = 18.1 meV/atom
data_Er3Tm6Pb
_chemical_formula_sum 'Er12 Tm24 Pb4'
_cell_length_a 10.7672
_cell_length_b 18.5696
_cell_length_c 6.0781
_cell_angle_alpha 90.00
_cell_angle_beta 90.00
_cell_angle_gamma 90.00
_symmetry_space_group_name_H-M 'C m c 21'
_symmetry_Int_Tables_number 36
_symmetry_space_group_name_Hall 'C 2c -2'
loop_
_atom_site_label
_atom_site_type_symbol
_atom_site_fract_x
_atom_site_fract_y
_atom_site_fract_z
Er1 Er 0.0000 0.1094 0.0000
Er2 Er 0.1621 0.3913 0.6259
Tm1 Tm 0.0000 0.2234 0.4206
Tm2 Tm 0.0000 0.4403 0.1415
Tm3 Tm 0.1602 0.0467 0.5313
Tm4 Tm 0.2468 0.2081 0.7088
Pb1 Pb 0.0000 0.2811 0.9221

=====

K2TiFeW | PBE | optimized geometry

```
data_K2TiFeW
_chemical_formula_sum 'K2 Ti1 Fe1 W1'
_cell_length_a 6.3983
_cell_length_b 6.3983
_cell_length_c 4.6041
_cell_angle_alpha 90.00
_cell_angle_beta 90.00
_cell_angle_gamma 90.00
_symmetry_space_group_name_H-M 'P 4/m m m'
_symmetry_Int_Tables_number 123
_symmetry_space_group_name_Hall '-P 4 2'
loop_
_atom_site_label
_atom_site_type_symbol
_atom_site_fract_x
_atom_site_fract_y
_atom_site_fract_z
K1 K 0.0000 0.5000 0.0000
Ti1 Ti 0.0000 0.0000 0.5000
Fe1 Fe 0.5000 0.5000 0.5000
W1 W 0.0000 0.0000 0.0000
```

=====

Which DFT formation energy belongs to each record? In order, -0.728 -0.179 0.001 2.366 eV per atom.
Which calculated volume belongs to each record? In order, 16.1 31.7 30.4 37.7 Å³/atom.